PBE-GGA LiPmZnPd2, optimized geometry; ΔE_f = -0.609 eV per atom; magnetization = 0.00 μB/atom
1.0
3.942 0.000 0.000
0.000 3.942 0.000
0.000 0.000 12.178
Li Pm Zn Pd
2 2 2 4
Direct
0.000 0.000 0.000
0.500 0.500 0.500
0.000 0.500 0.250
0.500 0.000 0.750
0.000 0.000 0.500
0.500 0.500 0.000
0.000 0.500 0.639
0.000 0.500 0.861
0.500 0.000 0.139
0.500 0.000 0.361